Computed, not measured: a crystal of TcIr2Pt relaxed with PBEsol at the SCAN level of DFT.

Values from the calculation:
E_form: -0.11 eV per atom
crystal system: orthorhombic
calculated total energy: -247.88 eV for the cell shown
calculated volume: 14.193 A^3/atom
energy above the lowest structure with this stoichiometry: 0.0486 eV/atom

The structure in POSCAR format:
```
TcIr2Pt
1.0
2.702 0.000 0.000
0.000 3.867 0.000
0.000 0.000 5.432
Tc Ir Pt
1 2 1
direct
0.000 0.000 0.000
0.000 0.000 0.487
0.500 0.500 0.236
0.500 0.500 0.745
```